# LiCd2TcO6 (GGA-PBE, relaxed)
data_LiCd2TcO6
_space_group_name_H-M_alt 'P 1 21/c 1'
_space_group_IT_number 14
_cell_length_a 5.4301
_cell_length_b 5.5536
_cell_length_c 9.5181
_cell_angle_alpha 90.00
_cell_angle_beta 124.23
_cell_angle_gamma 90.00
loop_
_space_group_symop_operation_xyz
'x,y,z'
'-x,-y,-z'
'-x,y+1/2,-z+1/2'
'x,-y+1/2,z+1/2'
loop_
_atom_site_label
_atom_site_fract_x
_atom_site_fract_y
_atom_site_fract_z
_atom_site_occupancy
Li1 0.0000 0.0000 0.0000 1
Cd1 0.2544 0.0480 0.7486 1
Tc1 0.5000 0.0000 0.5000 1
O1 0.1640 0.0527 0.2673 1
O2 0.2570 0.6792 0.0461 1
O3 0.3980 0.2134 0.0661 1
# Calculated volume   118.7 Å³/f.u.
# Formation energy without anion corrections   -1.2260 eV/atom